# Sm2Si3Ru | the Alexandria database | PBE-GGA | optimized geometry
# formation energy without anion corrections: -4.30 eV per formula unit
data_Sm2Si3Ru
_chemical_formula_sum 'Sm16 Si24 Ru8'
_symmetry_space_group_name_H-M 'F m m m'
_symmetry_Int_Tables_number 69
_symmetry_space_group_name_Hall '-F 2 2'
_cell_length_a 8.224
_cell_length_b 8.293
_cell_length_c 14.251
_cell_angle_alpha 90.00
_cell_angle_beta 90.00
_cell_angle_gamma 90.00
loop_
_atom_site_label
_atom_site_type_symbol
_atom_site_fract_x
_atom_site_fract_y
_atom_site_fract_z
Sm1 Sm 0.244 0.000 0.000
Sm2 Sm 0.250 0.250 0.250
Si1 Si 0.000 0.000 0.333
Si2 Si 0.000 0.249 0.084
Ru1 Ru 0.000 0.000 0.166

***

# SnMo3Rh | the Alexandria database | PBE-GGA | optimized geometry
# formation energy from the elements: 1.44 eV per atom
data_SnMo3Rh
_chemical_formula_sum 'Sn1 Mo3 Rh1'
_symmetry_space_group_name_H-M 'P m -3 m'
_symmetry_Int_Tables_number 221
_symmetry_space_group_name_Hall '-P 4 2 3'
_cell_length_a 4.723
_cell_length_b 4.723
_cell_length_c 4.723
_cell_angle_alpha 90.00
_cell_angle_beta 90.00
_cell_angle_gamma 90.00
loop_
_atom_site_label
_atom_site_type_symbol
_atom_site_fract_x
_atom_site_fract_y
_atom_site_fract_z
Sn1 Sn 0.000 0.000 0.000
Mo1 Mo 0.000 0.500 0.500
Rh1 Rh 0.500 0.500 0.500